Record 1
# Co2AgBiN | the Alexandria database | GGA-PBEsol | optimized geometry
data_Co2AgBiN
_chemical_formula_sum 'Co2 Ag1 Bi1 N1'
_space_group_name_H-M_alt 'P 4/m m m'
_space_group_IT_number 123
_space_group_name_Hall '-P 4 2'
_cell_length_a 4.565
_cell_length_b 4.565
_cell_length_c 5.326
_cell_angle_alpha 90.00
_cell_angle_beta 90.00
_cell_angle_gamma 90.00
loop_
_atom_site_label
_atom_site_type_symbol
_atom_site_fract_x
_atom_site_fract_y
_atom_site_fract_z
_atom_site_occupancy
Co1 Co 0.000 0.500 0.000 1
Ag1 Ag 0.000 0.000 0.000 1
Bi1 Bi 0.000 0.000 0.500 1
N1 N 0.500 0.500 0.500 1
# Size of the total moment: 5.343 μB per formula unit
# Energy relative to the elements, uncorrected: 12.1 eV per formula unit

---

Record 2
# Cr3AgBi | the Alexandria database | GGA-PBEsol | optimized geometry
data_Cr3AgBi
_chemical_formula_sum 'Cr3 Ag1 Bi1'
_space_group_name_H-M_alt 'P m -3 m'
_space_group_IT_number 221
_space_group_name_Hall '-P 4 2 3'
_cell_length_a 4.908
_cell_length_b 4.908
_cell_length_c 4.908
_cell_angle_alpha 90.00
_cell_angle_beta 90.00
_cell_angle_gamma 90.00
loop_
_atom_site_label
_atom_site_type_symbol
_atom_site_fract_x
_atom_site_fract_y
_atom_site_fract_z
_atom_site_occupancy
Cr1 Cr 0.000 0.000 0.500 1
Ag1 Ag 0.000 0.000 0.000 1
Bi1 Bi 0.500 0.500 0.500 1
# Energy of formation from the pure elements: 1.453 eV per atom
# Size of the total moment: 13.076 μB per formula unit

---

Record 3
# Cr4AgBiO14 | the Alexandria database | GGA-PBEsol | optimized geometry
data_Cr4AgBiO14
_chemical_formula_sum 'Cr8 Ag2 Bi2 O28'
_space_group_name_H-M_alt 'I 4'
_space_group_IT_number 79
_space_group_name_Hall 'I 4'
_cell_length_a 8.511
_cell_length_b 8.511
_cell_length_c 8.004
_cell_angle_alpha 90.00
_cell_angle_beta 90.00
_cell_angle_gamma 90.00
loop_
_atom_site_label
_atom_site_type_symbol
_atom_site_fract_x
_atom_site_fract_y
_atom_site_fract_z
_atom_site_occupancy
Cr1 Cr 0.122 0.337 0.000 1
Ag1 Ag 0.000 0.000 0.724 1
Bi1 Bi 0.000 0.000 0.304 1
O1 O 0.000 0.500 0.010 1
O2 O 0.081 0.238 0.836 1
O3 O 0.095 0.230 0.167 1
O4 O 0.102 0.805 0.493 1
# Size of the total moment: 0.005 μB per formula unit
# Energy relative to the elements, uncorrected: -30.2 eV per formula unit

---

Record 4
# Ta2CrAgBi | the Alexandria database | GGA-PBEsol | optimized geometry
data_Ta2CrAgBi
_chemical_formula_sum 'Ta2 Cr1 Ag1 Bi1'
_space_group_name_H-M_alt 'P 4/m m m'
_space_group_IT_number 123
_space_group_name_Hall '-P 4 2'
_cell_length_a 4.531
_cell_length_b 4.531
_cell_length_c 5.010
_cell_angle_alpha 90.00
_cell_angle_beta 90.00
_cell_angle_gamma 90.00
loop_
_atom_site_label
_atom_site_type_symbol
_atom_site_fract_x
_atom_site_fract_y
_atom_site_fract_z
_atom_site_occupancy
Ta1 Ta 0.000 0.500 0.000 1
Cr1 Cr 0.000 0.000 0.000 1
Ag1 Ag 0.000 0.000 0.500 1
Bi1 Bi 0.500 0.500 0.500 1
# Energy of formation from the pure elements: 1.070 eV per atom
# Size of the total moment: 0.009 μB per formula unit

---

Record 5
# CsAg2Bi2 | the Alexandria database | GGA-PBEsol | optimized geometry
data_CsAg2Bi2
_chemical_formula_sum 'Cs2 Ag4 Bi4'
_space_group_name_H-M_alt 'I 4/m m m'
_space_group_IT_number 139
_space_group_name_Hall '-I 4 2'
_cell_length_a 5.033
_cell_length_b 5.033
_cell_length_c 11.945
_cell_angle_alpha 90.00
_cell_angle_beta 90.00
_cell_angle_gamma 90.00
loop_
_atom_site_label
_atom_site_type_symbol
_atom_site_fract_x
_atom_site_fract_y
_atom_site_fract_z
_atom_site_occupancy
Cs1 Cs 0.000 0.000 0.000 1
Ag1 Ag 0.000 0.500 0.250 1
Bi1 Bi 0.000 0.000 0.370 1
# Energy of formation from the pure elements: -0.093 eV per atom
# Size of the total moment: 0.000 μB per formula unit

---

Record 6
# Cu2AgHgBi | the Alexandria database | GGA-PBEsol | optimized geometry
data_Cu2AgHgBi
_chemical_formula_sum 'Cu2 Ag1 Hg1 Bi1'
_space_group_name_H-M_alt 'P 4/m m m'
_space_group_IT_number 123
_space_group_name_Hall '-P 4 2'
_cell_length_a 4.845
_cell_length_b 4.845
_cell_length_c 5.746
_cell_angle_alpha 90.00
_cell_angle_beta 90.00
_cell_angle_gamma 90.00
loop_
_atom_site_label
_atom_site_type_symbol
_atom_site_fract_x
_atom_site_fract_y
_atom_site_fract_z
_atom_site_occupancy
Cu1 Cu 0.000 0.500 0.000 1
Ag1 Ag 0.000 0.000 0.500 1
Hg1 Hg 0.500 0.500 0.500 1
Bi1 Bi 0.500 0.500 0.000 1
# Energy of formation from the pure elements: 0.923 eV per atom
# Size of the total moment: 0.000 μB per formula unit

---

Record 7
# CuAgBiO2 | the Alexandria database | GGA-PBEsol | optimized geometry
data_CuAgBiO2
_chemical_formula_sum 'Cu1 Ag1 Bi1 O2'
_space_group_name_H-M_alt 'P 4/m m m'
_space_group_IT_number 123
_space_group_name_Hall '-P 4 2'
_cell_length_a 4.200
_cell_length_b 4.200
_cell_length_c 5.198
_cell_angle_alpha 90.00
_cell_angle_beta 90.00
_cell_angle_gamma 90.00
loop_
_atom_site_label
_atom_site_type_symbol
_atom_site_fract_x
_atom_site_fract_y
_atom_site_fract_z
_atom_site_occupancy
Cu1 Cu 0.000 0.000 0.000 1
Ag1 Ag 0.500 0.500 0.000 1
Bi1 Bi 0.000 0.000 0.500 1
O1 O 0.000 0.500 0.500 1
# Size of the total moment: 0.000 μB per formula unit
# Energy relative to the elements, uncorrected: 1.5 eV per formula unit

---

Record 8
# CuAgBiP2 | the Alexandria database | GGA-PBEsol | optimized geometry
data_CuAgBiP2
_chemical_formula_sum 'Cu1 Ag1 Bi1 P2'
_space_group_name_H-M_alt 'P 4/m m m'
_space_group_IT_number 123
_space_group_name_Hall '-P 4 2'
_cell_length_a 5.231
_cell_length_b 5.231
_cell_length_c 4.781
_cell_angle_alpha 90.00
_cell_angle_beta 90.00
_cell_angle_gamma 90.00
loop_
_atom_site_label
_atom_site_type_symbol
_atom_site_fract_x
_atom_site_fract_y
_atom_site_fract_z
_atom_site_occupancy
Cu1 Cu 0.000 0.000 0.000 1
Ag1 Ag 0.500 0.500 0.000 1
Bi1 Bi 0.000 0.000 0.500 1
P1 P 0.000 0.500 0.500 1
# Energy of formation from the pure elements: 1.409 eV per atom
# Size of the total moment: 0.001 μB per formula unit